[1]
VASP calculation (PBE-GGA) on a relaxed Sc7Ir6 crystal.

```
Sc7Ir6
1.0
2.758 1.592 8.810
-2.758 1.592 8.810
0.000 -3.185 8.810
Sc Ir
7 6
Direct
0.000 0.000 0.000 Sc
0.086 0.086 0.575 Sc
0.086 0.575 0.086 Sc
0.425 0.914 0.914 Sc
0.575 0.086 0.086 Sc
0.914 0.425 0.914 Sc
0.914 0.914 0.425 Sc
0.166 0.166 0.166 Ir
0.345 0.345 0.345 Ir
0.452 0.452 0.452 Ir
0.548 0.548 0.548 Ir
0.655 0.655 0.655 Ir
0.834 0.834 0.834 Ir
```

VASP energy in eV per atom: -7.506
Formation enthalpy at 0 K in eV/atom: -0.008
SG: R-3m

***

[2]
VASP calculation (PBE-GGA) on a relaxed CsAg2Te4P crystal.

```
CsAg2Te4P
1.0
7.180 0.000 0.000
0.000 8.774 0.000
0.000 0.000 9.630
Cs Ag Te P
2 4 8 2
Direct
0.000 0.000 0.000 Cs
0.500 0.500 0.500 Cs
0.000 0.500 0.161 Ag
0.000 0.500 0.839 Ag
0.500 0.000 0.339 Ag
0.500 0.000 0.661 Ag
0.192 0.172 0.351 Te
0.192 0.828 0.649 Te
0.308 0.328 0.851 Te
0.308 0.672 0.149 Te
0.692 0.328 0.149 Te
0.692 0.672 0.851 Te
0.808 0.172 0.649 Te
0.808 0.828 0.351 Te
0.000 0.000 0.500 P
0.500 0.500 0.000 P
```

VASP energy in eV per atom: -3.263
SG: I222

***

[3]
VASP calculation (PBE-GGA) on a relaxed K5Al crystal.

```
K5Al
1.0
7.520 0.000 0.000
-3.760 6.513 0.000
0.000 0.000 6.574
K Al
5 1
Direct
0.000 0.705 0.000 K
0.295 0.295 0.000 K
0.333 0.667 0.500 K
0.667 0.333 0.500 K
0.705 0.000 0.000 K
0.000 0.000 0.500 Al
```

VASP energy in eV per atom: -1.318
Formation enthalpy at 0 K in eV/atom: 0.220
Energy above the lowest structure with this stoichiometry in kJ/mol of atoms: 3.13
SG: P-62m

***

[4]
VASP calculation (PBE-GGA) on a relaxed CeErPb crystal.

```
CeErPb
1.0
8.810 0.000 0.000
0.000 5.173 0.000
-3.553 0.000 8.226
Ce Er Pb
4 4 4
Direct
0.169 0.000 0.432 Ce
0.331 0.500 0.568 Ce
0.669 0.500 0.432 Ce
0.831 0.000 0.568 Ce
0.218 0.500 0.136 Er
0.282 0.000 0.864 Er
0.718 0.000 0.136 Er
0.782 0.500 0.864 Er
0.069 0.500 0.745 Pb
0.431 0.000 0.255 Pb
0.569 0.000 0.745 Pb
0.931 0.500 0.255 Pb
```

VASP energy in eV per atom: -4.887
Formation enthalpy at 0 K in eV/atom: -0.152
Energy above the lowest structure with this stoichiometry in kJ/mol of atoms: 24.43
SG: C2/m

***

[5]
VASP calculation (PBE-GGA) on a relaxed Sr2RhF crystal.

```
Sr2RhF
1.0
7.146 0.000 0.000
0.000 7.146 0.000
0.000 0.000 7.146
Sr Rh F
8 4 4
Direct
0.250 0.250 0.250 Sr
0.250 0.250 0.750 Sr
0.250 0.750 0.250 Sr
0.250 0.750 0.750 Sr
0.750 0.250 0.250 Sr
0.750 0.250 0.750 Sr
0.750 0.750 0.250 Sr
0.750 0.750 0.750 Sr
0.000 0.000 0.000 Rh
0.000 0.500 0.500 Rh
0.500 0.000 0.500 Rh
0.500 0.500 0.000 Rh
0.000 0.000 0.500 F
0.000 0.500 0.000 F
0.500 0.000 0.000 F
0.500 0.500 0.500 F
```

VASP energy in eV per atom: -4.300
Energy above the lowest structure with this stoichiometry in kJ/mol of atoms: 18.31
SG: Fm-3m

***

[6]
VASP calculation (PBE-GGA) on a relaxed LiCd4Pt crystal.

```
LiCd4Pt
1.0
4.220 -6.091 0.000
4.220 6.091 0.000
-3.130 0.000 4.593
Li Cd Pt
2 8 2
Direct
0.111 0.889 0.750 Li
0.889 0.111 0.250 Li
0.102 0.526 0.299 Cd
0.275 0.350 0.740 Cd
0.350 0.275 0.240 Cd
0.474 0.898 0.201 Cd
0.526 0.102 0.799 Cd
0.650 0.725 0.760 Cd
0.725 0.650 0.260 Cd
0.898 0.474 0.701 Cd
0.109 0.891 0.250 Pt
0.891 0.109 0.750 Pt
```

VASP energy in eV per atom: -2.169
Formation enthalpy at 0 K in eV/atom: -0.234
Energy above the lowest structure with this stoichiometry in kJ/mol of atoms: 0.00
SG: C2/c

***

[7]
VASP calculation (PBE-GGA) on a relaxed PaZnGeAu crystal.

```
PaZnGeAu
1.0
6.857 0.000 0.000
0.000 6.857 0.000
0.000 0.000 6.857
Pa Zn Ge Au
4 4 4 4
Direct
0.000 0.000 0.000 Pa
0.000 0.500 0.500 Pa
0.500 0.000 0.500 Pa
0.500 0.500 0.000 Pa
0.000 0.000 0.500 Zn
0.000 0.500 0.000 Zn
0.500 0.000 0.000 Zn
0.500 0.500 0.500 Zn
0.250 0.250 0.750 Ge
0.250 0.750 0.250 Ge
0.750 0.250 0.250 Ge
0.750 0.750 0.750 Ge
0.250 0.250 0.250 Au
0.250 0.750 0.750 Au
0.750 0.250 0.750 Au
0.750 0.750 0.250 Au
```

VASP energy in eV per atom: -4.905
Formation enthalpy at 0 K in eV/atom: -0.239
SG: F-43m

***

[8]
VASP calculation (PBE-GGA) on a relaxed PrErB12 crystal.

```
PrErB12
1.0
4.116 0.000 0.000
0.000 4.116 0.000
0.000 0.000 8.234
Pr Er B
1 1 12
Direct
0.000 0.000 0.000 Pr
0.000 0.000 0.500 Er
0.199 0.500 0.253 B
0.199 0.500 0.747 B
0.500 0.199 0.253 B
0.500 0.199 0.747 B
0.500 0.500 0.101 B
0.500 0.500 0.402 B
0.500 0.500 0.598 B
0.500 0.500 0.899 B
0.500 0.801 0.253 B
0.500 0.801 0.747 B
0.801 0.500 0.253 B
0.801 0.500 0.747 B
```

VASP energy in eV per atom: -6.815
Formation enthalpy at 0 K in eV/atom: -0.424
SG: P4/mmm

***

[9]
VASP calculation (PBE-GGA) on a relaxed CeZrFeOs crystal.

```
CeZrFeOs
1.0
6.680 0.000 0.000
0.000 6.680 0.000
0.000 0.000 6.680
Ce Zr Fe Os
4 4 4 4
Direct
0.000 0.000 0.000 Ce
0.000 0.500 0.500 Ce
0.500 0.000 0.500 Ce
0.500 0.500 0.000 Ce
0.000 0.000 0.500 Zr
0.000 0.500 0.000 Zr
0.500 0.000 0.000 Zr
0.500 0.500 0.500 Zr
0.250 0.250 0.250 Fe
0.250 0.750 0.750 Fe
0.750 0.250 0.750 Fe
0.750 0.750 0.250 Fe
0.250 0.250 0.750 Os
0.250 0.750 0.250 Os
0.750 0.250 0.250 Os
0.750 0.750 0.750 Os
```

VASP energy in eV per atom: -8.644
Formation enthalpy at 0 K in eV/atom: -0.101
SG: F-43m

***

[10]
VASP calculation (PBE-GGA) on a relaxed Pr5Sm3Y4 crystal.

```
Pr5Sm3Y4
1.0
6.316 0.000 0.000
0.005 7.283 0.000
0.003 0.009 8.930
Pr Sm Y
5 3 4
Direct
0.000 0.000 0.000 Pr
0.331 0.501 0.665 Pr
0.500 0.249 0.001 Pr
0.500 0.751 0.999 Pr
0.669 0.499 0.335 Pr
0.000 0.500 0.000 Sm
0.167 0.249 0.335 Sm
0.833 0.751 0.665 Sm
0.167 0.752 0.335 Y
0.333 0.000 0.664 Y
0.667 0.000 0.336 Y
0.833 0.248 0.665 Y
```

VASP energy in eV per atom: -5.313
Formation enthalpy at 0 K in eV/atom: 0.013
Energy above the lowest structure with this stoichiometry in kJ/mol of atoms: 0.00
SG: P-1

***

[11]
VASP calculation (PBE-GGA) on a relaxed TbCeS4 crystal.

```
TbCeS4
1.0
4.412 0.000 0.000
0.000 4.412 0.000
0.000 0.000 7.210
Tb Ce S
1 1 4
Direct
0.000 0.000 0.000 Tb
0.000 0.000 0.500 Ce
0.000 0.500 0.251 S
0.000 0.500 0.749 S
0.500 0.000 0.251 S
0.500 0.000 0.749 S
```

VASP energy in eV per atom: -5.964
Energy above the lowest structure with this stoichiometry in kJ/mol of atoms: 2.40
SG: P4/mmm

***

[12]
VASP calculation (PBE-GGA) on a relaxed PmDyNiRh crystal.

```
PmDyNiRh
1.0
6.913 0.000 0.000
0.000 6.913 0.000
0.000 0.000 6.913
Pm Dy Ni Rh
4 4 4 4
Direct
0.000 0.000 0.000 Pm
0.000 0.500 0.500 Pm
0.500 0.000 0.500 Pm
0.500 0.500 0.000 Pm
0.000 0.000 0.500 Dy
0.000 0.500 0.000 Dy
0.500 0.000 0.000 Dy
0.500 0.500 0.500 Dy
0.250 0.250 0.250 Ni
0.250 0.750 0.750 Ni
0.750 0.250 0.750 Ni
0.750 0.750 0.250 Ni
0.250 0.250 0.750 Rh
0.250 0.750 0.250 Rh
0.750 0.250 0.250 Rh
0.750 0.750 0.750 Rh
```

VASP energy in eV per atom: -6.166
Formation enthalpy at 0 K in eV/atom: -0.544
Energy above the lowest structure with this stoichiometry in kJ/mol of atoms: 5.13
SG: F-43m

***

- Which value of VASP energy does entry 11 give?
  -5.964 eV per atom